(1)
First-principles (PBE) data for a relaxed PmDy2Tl2Ag2 crystal, as listed in Alexandria via LeMat-Bulk.

Structure (POSCAR):
```
PmDy2Tl2Ag2
1.0
2.464 1.423 8.687
-2.464 1.423 8.687
0.000 -2.845 8.687
Pm Dy Tl Ag
1 2 2 2
Direct
0.000 0.000 0.000 Pm
0.133 0.133 0.133 Dy
0.867 0.867 0.867 Dy
0.264 0.264 0.264 Tl
0.736 0.736 0.736 Tl
0.436 0.436 0.436 Ag
0.564 0.564 0.564 Ag
```

Computed properties:
The calculation puts the formation energy at -0.18 eV/atom. Its space group is R-3m (166). As for the uncorrected energy: -25.6 eV per formula unit.

(2)
First-principles (PBE) data for a relaxed PmDyTlAg crystal, as listed in Alexandria via LeMat-Bulk.

Structure (POSCAR):
```
PmDyTlAg
1.0
0.000 3.770 3.770
3.770 0.000 3.770
3.770 3.770 0.000
Pm Dy Tl Ag
1 1 1 1
Direct
0.000 0.000 0.000 Pm
0.500 0.500 0.500 Dy
0.250 0.250 0.250 Tl
0.750 0.750 0.750 Ag
```

Computed properties:
The calculation puts the formation energy at -0.33 eV/atom. Its space group is F-43m (216). As for the uncorrected energy: -15.9 eV per formula unit. The value obtained for the energy relative to the lowest polymorph listed for this composition is 5.0 meV per atom.

(3)
First-principles (PBE) data for a relaxed PmDyTlAg crystal, as listed in Alexandria via LeMat-Bulk.

Structure (POSCAR):
```
PmDyTlAg
1.0
3.687 0.000 0.000
0.000 3.687 0.000
0.000 0.000 7.845
Pm Dy Tl Ag
1 1 1 1
Direct
0.000 0.000 0.000 Pm
0.000 0.000 0.530 Dy
0.500 0.500 0.271 Tl
0.500 0.500 0.745 Ag
```

Computed properties:
The calculation puts the formation energy at -0.33 eV/atom. Its space group is P4mm (99). As for the uncorrected energy: -15.9 eV per formula unit. The value obtained for the energy relative to the lowest polymorph listed for this composition is 0.0 meV per atom.

(4)
First-principles (PBE) data for a relaxed PmDyTmAg crystal, as listed in Alexandria via LeMat-Bulk.

Structure (POSCAR):
```
PmDyTmAg
1.0
0.000 3.809 3.809
3.809 0.000 3.809
3.809 3.809 0.000
Pm Dy Tm Ag
1 1 1 1
Direct
0.000 0.000 0.000 Pm
0.250 0.250 0.250 Dy
0.750 0.750 0.750 Tm
0.500 0.500 0.500 Ag
```

Computed properties:
The calculation puts the formation energy at 0.10 eV/atom. Its space group is F-43m (216). As for the uncorrected energy: -16.3 eV per formula unit. The value obtained for the energy relative to the lowest polymorph listed for this composition is 238.1 meV per atom.

(5)
First-principles (PBE) data for a relaxed PmDyTmAg crystal, as listed in Alexandria via LeMat-Bulk.

Structure (POSCAR):
```
PmDyTmAg
1.0
3.600 0.000 0.000
0.000 3.600 0.000
0.000 0.000 8.713
Pm Dy Tm Ag
1 1 1 1
Direct
0.000 0.000 0.000 Pm
0.500 0.500 0.707 Dy
0.500 0.500 0.290 Tm
0.000 0.000 0.491 Ag
```

Computed properties:
The calculation puts the formation energy at -0.14 eV/atom. Its space group is P4mm (99). As for the uncorrected energy: -17.2 eV per formula unit. The value obtained for the energy relative to the lowest polymorph listed for this composition is 0.0 meV per atom.

(6)
First-principles (PBE) data for a relaxed PmDyZnAg crystal, as listed in Alexandria via LeMat-Bulk.

Structure (POSCAR):
```
PmDyZnAg
1.0
0.000 3.652 3.652
3.652 0.000 3.652
3.652 3.652 0.000
Pm Dy Zn Ag
1 1 1 1
Direct
0.000 0.000 0.000 Pm
0.500 0.500 0.500 Dy
0.250 0.250 0.250 Zn
0.750 0.750 0.750 Ag
```

Computed properties:
The calculation puts the formation energy at -0.30 eV/atom. Its space group is F-43m (216). As for the uncorrected energy: -14.7 eV per formula unit.

(7)
First-principles (PBE) data for a relaxed Pr2DyAg4 crystal, as listed in Alexandria via LeMat-Bulk.

Structure (POSCAR):
```
Pr2DyAg4
1.0
-2.709 2.709 6.495
2.709 -2.709 6.495
2.709 2.709 -6.495
Pr Dy Ag
2 1 4
Direct
0.219 0.219 0.000 Pr
0.781 0.781 0.000 Pr
0.500 0.500 0.000 Dy
0.113 0.613 0.500 Ag
0.387 0.887 0.500 Ag
0.613 0.113 0.500 Ag
0.887 0.387 0.500 Ag
```

Computed properties:
The calculation puts the formation energy at -0.10 eV/atom. Its space group is I4/mmm (139). As for the uncorrected energy: -26.3 eV per formula unit.

(8)
First-principles (PBE) data for a relaxed Pr2DyAg2 crystal, as listed in Alexandria via LeMat-Bulk.

Structure (POSCAR):
```
Pr2DyAg2
1.0
6.153 -2.476 0.000
6.153 2.476 0.000
-5.530 0.000 9.380
Pr Dy Ag
4 2 4
Direct
0.032 0.032 0.191 Pr
0.180 0.180 0.592 Pr
0.820 0.820 0.408 Pr
0.968 0.968 0.809 Pr
0.299 0.299 0.146 Dy
0.701 0.701 0.854 Dy
0.368 0.368 0.926 Ag
0.451 0.451 0.597 Ag
0.549 0.549 0.403 Ag
0.632 0.632 0.074 Ag
```

Computed properties:
The calculation puts the formation energy at -0.16 eV/atom. Its space group is C2/m (12). As for the uncorrected energy: -20.6 eV per formula unit. The value obtained for the energy relative to the lowest polymorph listed for this composition is 0.0 meV per atom.

(9)
First-principles (PBE) data for a relaxed Pr4DyAg crystal, as listed in Alexandria via LeMat-Bulk.

Structure (POSCAR):
```
Pr4DyAg
1.0
3.709 0.000 0.000
0.000 3.709 0.000
0.000 0.000 14.202
Pr Dy Ag
4 1 1
Direct
0.000 0.000 0.139 Pr
0.000 0.000 0.861 Pr
0.500 0.500 0.324 Pr
0.500 0.500 0.676 Pr
0.000 0.000 0.500 Dy
0.500 0.500 0.000 Ag
```

Computed properties:
The calculation puts the formation energy at -0.06 eV/atom. Its space group is P4/mmm (123). As for the uncorrected energy: -26.9 eV per formula unit.

(10)
First-principles (PBE) data for a relaxed PrDy5Ag6 crystal, as listed in Alexandria via LeMat-Bulk.

Structure (POSCAR):
```
PrDy5Ag6
1.0
5.194 0.000 0.000
0.000 7.263 0.000
-2.566 0.000 7.811
Pr Dy Ag
1 5 6
Direct
0.000 0.000 0.000 Pr
0.000 0.500 0.000 Dy
0.332 0.000 0.664 Dy
0.334 0.500 0.669 Dy
0.666 0.500 0.331 Dy
0.668 0.000 0.336 Dy
0.171 0.255 0.341 Ag
0.171 0.745 0.341 Ag
0.500 0.262 0.000 Ag
0.500 0.738 0.000 Ag
0.829 0.255 0.659 Ag
0.829 0.745 0.659 Ag
```

Computed properties:
The calculation puts the formation energy at -0.31 eV/atom. Its space group is P2/m (10). As for the uncorrected energy: -48.6 eV per formula unit.

(11)
First-principles (PBE) data for a relaxed PrDy2Ag crystal, as listed in Alexandria via LeMat-Bulk.

Structure (POSCAR):
```
PrDy2Ag
1.0
1.803 1.041 10.552
-1.803 1.041 10.552
0.000 -2.082 10.552
Pr Dy Ag
1 2 1
Direct
0.000 0.000 0.000 Pr
0.240 0.240 0.240 Dy
0.760 0.760 0.760 Dy
0.500 0.500 0.500 Ag
```

Computed properties:
The calculation puts the formation energy at -0.01 eV/atom. Its space group is R-3m (166). As for the uncorrected energy: -16.9 eV per formula unit. The value obtained for the energy relative to the lowest polymorph listed for this composition is 119.5 meV per atom.

(12)
First-principles (PBE) data for a relaxed PrDy2Ag crystal, as listed in Alexandria via LeMat-Bulk.

Structure (POSCAR):
```
PrDy2Ag
1.0
1.820 1.051 10.468
-1.820 1.051 10.468
0.000 -2.102 10.468
Pr Dy Ag
1 2 1
Direct
0.000 0.000 0.000 Pr
0.238 0.238 0.238 Dy
0.428 0.428 0.428 Dy
0.833 0.833 0.833 Ag
```

Computed properties:
The calculation puts the formation energy at 0.00 eV/atom. Its space group is R3m (160). As for the uncorrected energy: -16.8 eV per formula unit. The value obtained for the energy relative to the lowest polymorph listed for this composition is 134.1 meV per atom.

(13)
First-principles (PBE) data for a relaxed PrDy3Ag4 crystal, as listed in Alexandria via LeMat-Bulk.

Structure (POSCAR):
```
PrDy3Ag4
1.0
5.192 0.000 0.000
0.000 5.192 0.000
0.000 0.000 7.363
Pr Dy Ag
1 3 4
Direct
0.000 0.000 0.000 Pr
0.000 0.000 0.500 Dy
0.500 0.500 0.000 Dy
0.500 0.500 0.500 Dy
0.000 0.500 0.262 Ag
0.000 0.500 0.738 Ag
0.500 0.000 0.262 Ag
0.500 0.000 0.738 Ag
```

Computed properties:
The calculation puts the formation energy at -0.30 eV/atom. Its space group is P4/mmm (123). As for the uncorrected energy: -32.4 eV per formula unit.

(14)
First-principles (PBE) data for a relaxed PrDyAg3 crystal, as listed in Alexandria via LeMat-Bulk.

Structure (POSCAR):
```
PrDyAg3
1.0
1.798 -14.093 0.000
1.798 14.093 0.000
0.000 0.000 4.828
Pr Dy Ag
2 2 6
Direct
0.075 0.925 0.750 Pr
0.925 0.075 0.250 Pr
0.210 0.790 0.250 Dy
0.790 0.210 0.750 Dy
0.321 0.679 0.250 Ag
0.377 0.623 0.750 Ag
0.476 0.524 0.750 Ag
0.524 0.476 0.250 Ag
0.623 0.377 0.250 Ag
0.679 0.321 0.750 Ag
```

Computed properties:
The calculation puts the formation energy at -0.26 eV/atom. Its space group is Cmcm (63). As for the uncorrected energy: -19.2 eV per formula unit. The value obtained for the energy relative to the lowest polymorph listed for this composition is 0.0 meV per atom.

(15)
First-principles (PBE) data for a relaxed Pr2DyAg2 crystal, as listed in Alexandria via LeMat-Bulk.

Structure (POSCAR):
```
Pr2DyAg2
1.0
1.818 -10.699 0.000
1.818 10.699 0.000
0.000 0.000 3.621
Pr Dy Ag
2 1 2
Direct
0.177 0.823 0.000 Pr
0.823 0.177 0.000 Pr
0.000 0.000 0.000 Dy
0.419 0.581 0.500 Ag
0.581 0.419 0.500 Ag
```

Computed properties:
The calculation puts the formation energy at -0.14 eV/atom. Its space group is Cmmm (65). As for the uncorrected energy: -20.6 eV per formula unit. The value obtained for the energy relative to the lowest polymorph listed for this composition is 12.7 meV per atom.

(16)
First-principles (PBE) data for a relaxed Pr2DyAg6 crystal, as listed in Alexandria via LeMat-Bulk.

Structure (POSCAR):
```
Pr2DyAg6
1.0
8.333 0.000 0.000
-4.167 7.217 0.000
0.000 0.000 3.543
Pr Dy Ag
2 1 6
Direct
0.333 0.667 0.000 Pr
0.667 0.333 0.000 Pr
0.000 0.000 0.000 Dy
0.000 0.331 0.500 Ag
0.000 0.669 0.500 Ag
0.331 0.000 0.500 Ag
0.331 0.331 0.500 Ag
0.669 0.000 0.500 Ag
0.669 0.669 0.500 Ag
```

Computed properties:
The calculation puts the formation energy at -0.25 eV/atom. Its space group is P6/mmm (191). As for the uncorrected energy: -33.5 eV per formula unit.

(17)
First-principles (PBE) data for a relaxed PrDy4Ag crystal, as listed in Alexandria via LeMat-Bulk.

Structure (POSCAR):
```
PrDy4Ag
1.0
2.708 -10.611 0.000
2.708 10.611 0.000
0.000 0.000 6.522
Pr Dy Ag
2 8 2
Direct
0.136 0.864 0.500 Pr
0.864 0.136 0.000 Pr
0.067 0.933 0.011 Dy
0.260 0.740 0.132 Dy
0.326 0.674 0.645 Dy
0.466 0.534 0.854 Dy
0.534 0.466 0.354 Dy
0.674 0.326 0.145 Dy
0.740 0.260 0.632 Dy
0.933 0.067 0.511 Dy
0.399 0.601 0.258 Ag
0.601 0.399 0.758 Ag
```

Computed properties:
The calculation puts the formation energy at 0.06 eV/atom. Its space group is Cmc2_1 (36). As for the uncorrected energy: -25.7 eV per formula unit. The value obtained for the energy relative to the lowest polymorph listed for this composition is 133.0 meV per atom.

(18)
First-principles (PBE) data for a relaxed PrDyAg3 crystal, as listed in Alexandria via LeMat-Bulk.

Structure (POSCAR):
```
PrDyAg3
1.0
7.817 0.000 0.000
0.000 5.653 0.000
-4.036 0.000 11.292
Pr Dy Ag
4 4 12
Direct
0.118 0.248 0.102 Pr
0.118 0.252 0.602 Pr
0.882 0.748 0.398 Pr
0.882 0.752 0.898 Pr
0.387 0.639 0.852 Dy
0.387 0.861 0.352 Dy
0.613 0.139 0.648 Dy
0.613 0.361 0.148 Dy
0.019 0.727 0.186 Ag
0.019 0.773 0.686 Ag
0.308 0.748 0.085 Ag
0.308 0.752 0.585 Ag
0.338 0.131 0.921 Ag
0.338 0.369 0.421 Ag
0.662 0.631 0.579 Ag
0.662 0.869 0.079 Ag
0.692 0.248 0.415 Ag
0.692 0.252 0.915 Ag
0.981 0.227 0.314 Ag
0.981 0.273 0.814 Ag
```

Computed properties:
The calculation puts the formation energy at -0.17 eV/atom. Its space group is P2_1/c (14). As for the uncorrected energy: -18.8 eV per formula unit. The value obtained for the energy relative to the lowest polymorph listed for this composition is 92.0 meV per atom.

(19)
First-principles (PBE) data for a relaxed PrDy2Ag crystal, as listed in Alexandria via LeMat-Bulk.

Structure (POSCAR):
```
PrDy2Ag
1.0
3.642 0.000 0.000
0.000 3.642 0.000
0.000 0.000 8.767
Pr Dy Ag
1 2 1
Direct
0.000 0.000 0.000 Pr
0.500 0.500 0.294 Dy
0.500 0.500 0.706 Dy
0.000 0.000 0.500 Ag
```

Computed properties:
The calculation puts the formation energy at -0.13 eV/atom. Its space group is P4/mmm (123). As for the uncorrected energy: -17.4 eV per formula unit. The value obtained for the energy relative to the lowest polymorph listed for this composition is 0.0 meV per atom.

(20)
First-principles (PBE) data for a relaxed PrDy4Ag crystal, as listed in Alexandria via LeMat-Bulk.

Structure (POSCAR):
```
PrDy4Ag
1.0
3.593 0.000 0.000
0.000 3.593 0.000
0.000 0.000 13.909
Pr Dy Ag
1 4 1
Direct
0.000 0.000 0.000 Pr
0.000 0.000 0.365 Dy
0.000 0.000 0.635 Dy
0.500 0.500 0.185 Dy
0.500 0.500 0.815 Dy
0.500 0.500 0.500 Ag
```

Computed properties:
The calculation puts the formation energy at -0.08 eV/atom. Its space group is P4/mmm (123). As for the uncorrected energy: -26.5 eV per formula unit. The value obtained for the energy relative to the lowest polymorph listed for this composition is 0.0 meV per atom.